Run one
Ho2ErZr after structural relaxation, computed with PBE.

Properties
Theoretical density   8.6 g/cm3
Total magnetic moment   0.0 Bohr magnetons per cell

The structure in extended XYZ format:
```
4
Lattice="1.711 0.988 11.224 -1.711 0.988 11.224 0.000 -1.976 11.224" Properties=species:S:1:pos:R:3 pbc="T T T"
Ho 0.000 0.000 8.268
Ho 0.000 0.000 25.404
Er 0.000 0.000 0.000
Zr 0.000 0.000 16.836
```


Run two
Ho2ErZr after structural relaxation, computed with PBE.

Properties
Theoretical density   8.6 g/cm3
Total magnetic moment   0.0 Bohr magnetons per cell

The structure in extended XYZ format:
```
4
Lattice="1.723 0.995 11.097 -1.723 0.995 11.097 0.000 -1.990 11.097" Properties=species:S:1:pos:R:3 pbc="T T T"
Ho 0.000 0.000 0.000
Ho 0.000 0.000 5.828
Er 0.000 0.000 25.097
Zr 0.000 0.000 19.562
```


Run three
Ho2ErZr after structural relaxation, computed with PBE.

Properties
Theoretical density   8.6 g/cm3
Total magnetic moment   0.0 Bohr magnetons per cell

The structure in extended XYZ format:
```
4
Lattice="4.838 0.000 0.000 0.000 4.838 0.000 0.000 0.000 4.830" Properties=species:S:1:pos:R:3 pbc="T T T"
Ho 0.000 2.419 0.000
Ho 2.419 0.000 0.000
Er 0.000 0.000 2.415
Zr 2.419 2.419 2.415
```


Run four
Ho2ErZr after structural relaxation, computed with PBE.

Properties
Theoretical density   8.5 g/cm3
Total magnetic moment   0.0 Bohr magnetons per cell

The structure in extended XYZ format:
```
4
Lattice="4.002 0.000 0.000 0.000 4.002 0.000 0.000 0.000 7.145" Properties=species:S:1:pos:R:3 pbc="T T T"
Ho 0.000 0.000 1.629
Ho 0.000 0.000 5.517
Er 2.001 2.001 3.573
Zr 2.001 2.001 0.000
```


Most stable = run two


Run one
Ho2ErZr after structural relaxation, computed with PBE.

Properties
Theoretical density   8.4 g/cm3
Total magnetic moment   3.0 Bohr magnetons per cell

The structure in extended XYZ format:
```
4
Lattice="0.000 3.871 3.871 3.871 0.000 3.871 3.871 3.871 0.000" Properties=species:S:1:pos:R:3 pbc="T T T"
Ho 1.935 1.935 1.935
Ho 5.806 5.806 5.806
Er 0.000 0.000 0.000
Zr 3.871 3.871 3.871
```


Run two
Ho2ErZr after structural relaxation, computed with PBE.

Properties
Theoretical density   8.5 g/cm3
Total magnetic moment   0.0 Bohr magnetons per cell

The structure in extended XYZ format:
```
8
Lattice="6.288 -1.733 0.000 6.288 1.733 0.000 -5.870 0.000 10.608" Properties=species:S:1:pos:R:3 pbc="T T T"
Ho 0.227 0.000 2.247
Ho -2.747 0.000 7.858
Ho 9.453 0.000 2.750
Ho 6.479 0.000 8.361
Er 1.654 0.000 5.501
Er 5.052 0.000 5.107
Zr 4.493 0.000 0.202
Zr 2.213 0.000 10.406
```


Most stable = run two


Run one
Ho6Er12Zr after structural relaxation, computed with PBE.

Properties
Theoretical density   8.5 g/cm3
Total magnetic moment   3.0 Bohr magnetons per cell

The structure in extended XYZ format:
```
19
Lattice="6.488 3.746 4.119 -6.488 3.746 4.119 0.000 -7.491 4.119" Properties=species:S:1:pos:R:3 pbc="T T T"
Ho -2.798 -1.616 5.610
Ho 0.000 -3.231 6.747
Ho -2.798 1.616 6.747
Ho 2.798 -1.616 5.610
Ho 0.000 3.231 5.610
Ho 2.798 1.616 6.747
Er -1.659 -4.618 4.119
Er -4.829 0.873 4.119
Er 0.000 -2.017 2.962
Er -1.747 1.008 2.962
Er 1.659 -4.618 4.119
Er -3.170 3.746 4.119
Er 1.747 1.008 2.962
Er -1.747 -1.008 9.396
Er 4.829 0.873 4.119
Er 3.170 3.746 4.119
Er 1.747 -1.008 9.396
Er 0.000 2.017 9.396
Zr 0.000 0.000 6.179
```


Run two
Ho6Er12Zr after structural relaxation, computed with PBE.

Properties
Theoretical density   8.7 g/cm3
Total magnetic moment   0.0 Bohr magnetons per cell

The structure in extended XYZ format:
```
19
Lattice="5.854 3.380 4.963 -5.854 3.380 4.963 0.000 -6.759 4.963" Properties=species:S:1:pos:R:3 pbc="T T T"
Ho -3.250 -0.777 7.662
Ho -0.952 -3.203 7.228
Ho -2.298 2.426 7.228
Ho 2.298 -2.426 7.662
Ho 0.952 3.203 7.662
Ho 3.250 0.777 7.228
Er -5.294 1.428 6.244
Er -3.884 -3.870 8.646
Er -1.982 0.122 4.655
Er 1.410 -5.299 6.244
Er 0.885 -1.778 4.655
Er 1.097 1.656 4.655
Er -1.097 -1.656 10.235
Er -0.885 1.778 10.235
Er -1.410 5.299 8.646
Er 1.982 -0.122 10.235
Er 3.884 3.870 6.244
Er 5.294 -1.428 8.646
Zr 0.000 0.000 7.445
```


Most stable = run two